# 1
Compound: YMg2Te4
Source: the Alexandria database
Functional: PBE
Structure: relaxed

## Properties
space group = No. 63
raw formation energy = -87.48 kJ per mole of atoms

Cell lengths 4.122, 7.260, 14.333 Å; angles 90.00, 90.00, 106.49 degrees
Element x y z (fractional)
Te 0.217 0.433 0.617
Te 0.500 0.000 0.500
Te 0.217 0.433 0.883
Te 0.783 0.567 0.383
Te 0.047 0.094 0.250
Te 0.500 0.000 0.000
Te 0.783 0.567 0.117
Te 0.953 0.906 0.750
Mg 0.134 0.269 0.070
Mg 0.866 0.731 0.570
Mg 0.866 0.731 0.930
Mg 0.134 0.269 0.430
Y 0.617 0.233 0.750
Y 0.383 0.767 0.250

***

# 2
Compound: Si2SbRh
Source: the Alexandria database
Functional: PBE
Structure: relaxed

## Properties
space group = No. 166
raw formation energy = 2.11 kJ per mole of atoms

Cell lengths 8.107, 8.107, 8.107 Å; angles 22.98, 22.98, 22.98 degrees
Element x y z (fractional)
Sb 0.750 0.750 0.750
Si 0.515 0.515 0.515
Si 0.985 0.985 0.985
Rh 0.250 0.250 0.250

***

# 3
Compound: MoWAu
Source: the Alexandria database
Functional: PBE
Structure: relaxed

## Properties
space group = No. 42
E above lowest polymorph = 0.000 eV per formula unit

Cell lengths 7.190, 7.030, 2.768 Å; angles 82.04, 75.55, 22.41 degrees
Element x y z (fractional)
W 0.673 0.673 0.327
Au 0.000 0.000 0.000
Mo 0.327 0.327 0.673